Entry from Alexandria via LeMat-Bulk: a relaxed structure of K6Au2I3Cl (PBE).

Calculated values
- symmetry = C2/m, No. 12
- total magnetization (μB per cell) = 0.00
- Fermi-level density of states (states/eV per cell) = 0.0
- raw formation energy (kcal/mol of atoms) = -26.32

Unit cell a=8.4841 b=8.4841 c=8.4814 alpha=99.61 beta=99.61 gamma=119.97
With the nearest neighbours (Å) after each atom.
Atoms (fractional coordinates):
K  0.9223  0.6019  0.7669  1 Cl 3.30, 2 Au 3.44, 3 I 3.50-3.59
K  0.7584  0.7584  0.2351  1 Cl 3.30, 2 Au 3.44, 3 I 3.53-3.63
K  0.0777  0.3981  0.2331  1 Cl 3.30, 2 Au 3.44, 3 I 3.50-3.59
K  0.6019  0.9223  0.7669  1 Cl 3.30, 2 Au 3.44, 3 I 3.50-3.59
K  0.2416  0.2416  0.7649  1 Cl 3.30, 2 Au 3.44, 3 I 3.53-3.63
K  0.3981  0.0777  0.2331  1 Cl 3.30, 2 Au 3.44, 3 I 3.50-3.59
Au  0.3339  0.6661  0.0000  6 K 3.44
Au  0.6661  0.3339  0.0000  6 K 3.44
I  0.1702  0.8298  0.5000  6 K 3.50-3.59
I  0.8298  0.1702  0.5000  6 K 3.50-3.59
I  0.5000  0.5000  0.5000  6 K 3.50-3.63
Cl  0.0000  0.0000  0.0000  6 K 3.30